Entry 1:
DFT (PBE-GGA) results for a relaxed structure of CdPCl.

Unit cell a=4.357 b=4.357 c=4.601 alpha=90.00 beta=90.00 gamma=120.00
Sites, in units of the cell vectors:
Cd  0.000  0.000  0.000
P  0.333  0.667  0.977
Cl  0.667  0.333  0.482

The calculation puts the electronic total energy at -2.460 eV/atom. Its crystal system is trigonal. The value obtained for the magnetization is 0.28 μB per formula unit. As for the formation energy from raw total energies: 0.26 eV per atom.

Entry 2:
DFT (PBE-GGA) results for a relaxed structure of Ca2CdCuN.

Unit cell a=5.670 b=5.670 c=4.640 alpha=90.00 beta=90.00 gamma=90.00
Sites, in units of the cell vectors:
Ca  0.000  0.500  0.000
Ca  0.500  0.000  0.000
Cd  0.000  0.000  0.000
Cu  0.000  0.000  0.500
N  0.500  0.500  0.500

The calculation puts the electronic total energy at -2.352 eV/atom. Its crystal system is tetragonal. The value obtained for the magnetization is 0.00 μB per formula unit. As for the formation energy from raw total energies: 1.12 eV per atom.

Entry 3:
DFT (PBE-GGA) results for a relaxed structure of LaDyCd.

Unit cell a=5.353 b=5.353 c=3.648 alpha=90.00 beta=90.00 gamma=120.00
Sites, in units of the cell vectors:
La  0.000  0.000  0.000
Dy  0.333  0.667  0.571
Cd  0.667  0.333  0.384

The calculation puts the formation energy at -0.085 eV per atom. The calculation puts the electronic total energy at -3.567 eV/atom. Its crystal system is trigonal. The value obtained for the magnetization is 0.00 μB per formula unit.

Entry 4:
DFT (PBE-GGA) results for a relaxed structure of Tl3AsS4.

Unit cell a=9.222 b=11.055 c=9.326 alpha=90.00 beta=90.00 gamma=90.00
Sites, in units of the cell vectors:
Tl  0.073  0.055  0.194
Tl  0.073  0.445  0.194
Tl  0.099  0.750  0.394
Tl  0.401  0.250  0.894
Tl  0.427  0.555  0.694
Tl  0.427  0.945  0.694
Tl  0.573  0.055  0.306
Tl  0.573  0.445  0.306
Tl  0.599  0.750  0.106
Tl  0.901  0.250  0.606
Tl  0.927  0.555  0.806
Tl  0.927  0.945  0.806
As  0.219  0.750  0.974
As  0.281  0.250  0.474
As  0.719  0.750  0.526
As  0.781  0.250  0.026
S  0.002  0.750  0.069
S  0.158  0.088  0.533
S  0.158  0.412  0.533
S  0.189  0.750  0.738
S  0.311  0.250  0.238
S  0.342  0.588  0.033
S  0.342  0.912  0.033
S  0.498  0.250  0.569
S  0.502  0.750  0.431
S  0.658  0.088  0.967
S  0.658  0.412  0.967
S  0.689  0.750  0.762
S  0.811  0.250  0.262
S  0.842  0.588  0.467
S  0.842  0.912  0.467
S  0.998  0.250  0.931

The calculation puts the electronic total energy at -3.829 eV/atom. Its crystal system is orthorhombic. The value obtained for the magnetization is 0.00 μB per formula unit. As for the formation energy from raw total energies: -0.30 eV per atom.